## SrNpCoO6 (PBE with a Hubbard U)

Data for a geometry-optimized SrNpCoO6 structure.

Summary:
- M_tot (μB/f.u.) = 0.00
- raw total energy (eV per atom) = -7.7451
- space-group type = No. 163
- theoretical density (g cm⁻³) = 6.159

Cell lengths 5.201, 5.201, 11.041 Å; angles 90.00, 90.00, 120.00 degrees
Fractional coordinates of all 18 atoms:
1 Sr 0.000 0.000 0.000
2 Sr 0.000 0.000 0.500
3 Np 0.333 0.667 0.250
4 Np 0.667 0.333 0.750
5 Co 0.333 0.667 0.750
6 Co 0.667 0.333 0.250
7 O 0.013 0.376 0.650
8 O 0.013 0.638 0.850
9 O 0.362 0.376 0.850
10 O 0.362 0.987 0.650
11 O 0.376 0.013 0.150
12 O 0.376 0.362 0.350
13 O 0.624 0.638 0.650
14 O 0.624 0.987 0.850
15 O 0.638 0.013 0.350
16 O 0.638 0.624 0.150
17 O 0.987 0.362 0.150
18 O 0.987 0.624 0.350